Record 1
KCuH2 | PBEsol | optimized geometry

Output
Final energy in eV/f.u.: -12.5
Space group: I-42d (122)

Unit cell a=5.261 b=5.261 c=5.261 alpha=119.47 beta=119.47 gamma=90.92
Atoms (fractional coordinates):
K (0.000, 0.000, 0.000)
K (0.750, 0.250, 0.500)
Cu (0.250, 0.750, 0.500)
Cu (0.500, 0.500, 0.000)
H (0.308, 0.625, 0.183)
H (0.375, 0.558, 0.683)
H (0.442, 0.125, 0.817)
H (0.875, 0.692, 0.317)

***

Record 2
TcAsRuSe2 | PBEsol | optimized geometry

Output
Space group: P4/mmm (123)
Formation energy from raw total energies in eV per atom: 1.121

Unit cell a=4.802 b=4.802 c=4.583 alpha=90.00 beta=90.00 gamma=90.00
Atoms (fractional coordinates):
Tc (0.000, 0.000, 0.000)
As (0.500, 0.500, 0.000)
Ru (0.500, 0.500, 0.500)
Se (0.000, 0.500, 0.500)
Se (0.500, 0.000, 0.500)

***

Record 3
Ir2OsRu | PBEsol | optimized geometry

Output
Space group: Pmm2 (25)
E_form in eV/atom: 0.012
Polymorph energy (0 for the lowest one) in eV per formula unit: 0.03

Unit cell a=2.691 b=3.809 c=5.399 alpha=90.00 beta=90.00 gamma=90.00
Atoms (fractional coordinates):
Ir (0.000, 0.000, 0.000)
Ir (0.500, 0.500, 0.256)
Os (0.000, 0.000, 0.507)
Ru (0.500, 0.500, 0.751)

***

no.,V (Å³ per cell)
1,103.8
2,105.7
3,55.3